A relaxed structure of MgAgTe2, computed with PBE.

## Properties
For the formation energy (no corrections), the calculation gives -0.138 eV per atom. The volume comes out at 115 Å³ per cell. The space group is Pmmm (47).

Cell: 3.978 4.113 7.028 Å, 90.00 90.00 90.00°
Fractional positions:
Mg (0.000, 0.000, 0.000)
Ag (0.000, 0.500, 0.500)
Te (0.500, 0.000, 0.500)
Te (0.500, 0.500, 0.000)